# SmTl5Te4

A geometry-optimized SmTl5Te4 structure (PBE-GGA, the Alexandria database).

Calculated values
The volume is 38.1 Å³/atom. Its density is 7.34 Mg/m³. As for the raw formation energy: -5.8 eV per formula unit.

Geometry as POSCAR:
```
SmTl5Te4
1.0
9.995 -2.335 0.000
9.995 2.335 0.000
-3.874 0.000 8.156
Sm Tl Te
1 5 4
Direct
0.000 0.000 0.000
0.000 0.000 0.500
0.295 0.295 0.919
0.353 0.353 0.497
0.647 0.647 0.503
0.705 0.705 0.081
0.164 0.164 0.276
0.460 0.460 0.189
0.540 0.540 0.811
0.836 0.836 0.724
```

# SmTlTe2

A geometry-optimized SmTlTe2 structure (PBE-GGA, the Alexandria database).

Calculated values
The volume is 36.7 Å³/atom. Its density is 6.90 Mg/m³. As for the raw formation energy: -4.2 eV per formula unit.

Geometry as POSCAR:
```
SmTlTe2
1.0
2.252 1.300 8.357
-2.252 1.300 8.357
0.000 -2.600 8.357
Sm Tl Te
1 1 2
Direct
0.000 0.000 0.000
0.831 0.831 0.831
0.405 0.405 0.405
0.595 0.595 0.595
```

# SmTl3Te3

A geometry-optimized SmTl3Te3 structure (PBE-GGA, the Alexandria database).

Calculated values
The volume is 41.8 Å³/atom. Its density is 6.50 Mg/m³. As for the raw formation energy: -4.7 eV per formula unit.

Geometry as POSCAR:
```
SmTl3Te3
1.0
-4.350 4.816 6.991
4.350 -4.816 6.991
4.350 4.816 -6.991
Sm Tl Te
2 6 6
Direct
0.460 0.210 0.250
0.540 0.790 0.750
0.000 0.261 0.261
0.000 0.739 0.739
0.002 0.752 0.250
0.500 0.261 0.761
0.500 0.739 0.239
0.998 0.248 0.750
0.244 0.994 0.250
0.278 0.000 0.778
0.278 0.500 0.278
0.722 0.000 0.222
0.722 0.500 0.722
0.756 0.006 0.750
```

# Sm3Tl2Te

A geometry-optimized Sm3Tl2Te structure (PBE-GGA, the Alexandria database).

Calculated values
The volume is 31.6 Å³/atom. Its density is 8.65 Mg/m³. As for the raw formation energy: -3.8 eV per formula unit.

Geometry as POSCAR:
```
Sm3Tl2Te
1.0
-2.029 3.162 7.384
2.029 -3.162 7.384
2.029 3.162 -7.384
Sm Tl Te
3 2 1
Direct
0.000 0.000 0.000
0.340 0.340 0.000
0.660 0.660 0.000
0.170 0.670 0.500
0.830 0.330 0.500
0.500 0.000 0.500
```

# Sm10Tl3Te3

A geometry-optimized Sm10Tl3Te3 structure (PBE-GGA, the Alexandria database).

Calculated values
The volume is 30.2 Å³/atom. Its density is 8.59 Mg/m³. As for the raw formation energy: -11.1 eV per formula unit.

Geometry as POSCAR:
```
Sm10Tl3Te3
1.0
9.228 0.000 0.000
-4.614 7.992 0.000
0.000 0.000 6.551
Sm Tl Te
10 3 3
Direct
0.000 0.243 0.000
0.000 0.760 0.500
0.240 0.240 0.500
0.243 0.000 0.000
0.333 0.667 0.249
0.333 0.667 0.751
0.667 0.333 0.249
0.667 0.333 0.751
0.757 0.757 0.000
0.760 0.000 0.500
0.000 0.392 0.500
0.392 0.000 0.500
0.608 0.608 0.500
0.000 0.613 0.000
0.387 0.387 0.000
0.613 0.000 0.000
```

# Sm6TlTe8

A geometry-optimized Sm6TlTe8 structure (PBE-GGA, the Alexandria database).

Calculated values
The volume is 37.4 Å³/atom. Its density is 6.30 Mg/m³. As for the raw formation energy: -18.9 eV per formula unit.

Geometry as POSCAR:
```
Sm6TlTe8
1.0
11.994 0.000 0.000
-5.997 10.387 0.000
0.000 0.000 4.498
Sm Tl Te
6 1 8
Direct
0.136 0.484 0.250
0.348 0.864 0.250
0.484 0.348 0.750
0.516 0.652 0.250
0.652 0.136 0.750
0.864 0.516 0.750
0.000 0.000 0.000
0.047 0.693 0.249
0.307 0.353 0.249
0.333 0.667 0.750
0.353 0.047 0.751
0.647 0.953 0.249
0.667 0.333 0.250
0.693 0.647 0.751
0.953 0.307 0.751
```